(1)
Material: Dy6Tl3O2
Method: DFT, PBE
State: relaxed

Lattice parameters (Å, degrees): 4.685 4.685 24.807 90.00 90.00 90.00
Space group I4/mmm (No. 139)
Inequivalent atoms, fractional coordinates:
Dy: 0.000 0.000 0.196 [4 per cell]
Dy: 0.000 0.500 0.085 [8 per cell]
Tl: 0.000 0.000 0.323 [4 per cell]
Tl: 0.000 0.000 0.500 [2 per cell]
O: 0.000 0.000 0.101 [4 per cell]

Values from the calculation:
As for the total magnetic moment: 0.000 μB/cell. The uncorrected formation energy comes out at -120.5 kJ/mol of atoms. The calculation puts the final energy at -5.3063 eV/atom. The density of states at the Fermi level comes out at 0.47 states/eV per atom.


(2)
Material: AcMg13
Method: DFT, PBE
State: relaxed

Lattice parameters (Å, degrees): 14.133 14.133 14.133 90.00 90.00 90.00
Space group Fm-3c (No. 226)
Inequivalent atoms, fractional coordinates:
Ac: 0.250 0.250 0.250 [8 per cell]
Mg: 0.000 0.000 0.000 [8 per cell]
Mg: 0.000 0.119 0.180 [96 per cell]

Values from the calculation:
For the calculated formation energy, the calculation gives -0.010 eV/atom. As for the total magnetic moment: 0.000 μB/cell. The calculation puts the final energy at -1.7839 eV/atom. The density of states at the Fermi level comes out at 0.47 states/eV per atom.


(3)
Material: LuCu5
Method: DFT, PBE
State: relaxed

Lattice parameters (Å, degrees): 6.982 6.982 6.982 90.00 90.00 90.00
Space group F-43m (No. 216)
Inequivalent atoms, fractional coordinates:
Lu: 0.000 0.000 0.000 [4 per cell]
Cu: 0.124 0.124 0.376 [16 per cell]
Cu: 0.250 0.250 0.750 [4 per cell]

Values from the calculation:
For the calculated formation energy, the calculation gives -0.191 eV/atom. As for the total magnetic moment: 0.000 μB/cell. The calculation puts the final energy at -4.3575 eV/atom. The density of states at the Fermi level comes out at 1.05 states/eV per atom.


(4)
Material: BeCr2Au
Method: DFT, PBE
State: relaxed

Lattice parameters (Å, degrees): 4.637 8.260 2.653 90.00 90.29 90.00
Space group C2/m (No. 12)
Inequivalent atoms, fractional coordinates:
Be: 0.000 0.000 0.000 [2 per cell]
Cr: 0.250 0.250 0.500 [4 per cell]
Au: 0.000 0.500 0.000 [2 per cell]

Values from the calculation:
For the calculated formation energy, the calculation gives 0.336 eV/atom. As for the total magnetic moment: 0.003 μB/cell. The distance to the lowest polymorph of the same formula comes out at 0.274 eV/atom. The calculation puts the final energy at -6.2268 eV/atom. The density of states at the Fermi level comes out at 1.00 states/eV per atom.


(5)
Material: AlCu2Pd3
Method: DFT, PBE
State: relaxed

Lattice parameters (Å, degrees): 4.172 6.387 6.603 90.00 108.35 90.00
Space group P2/m (No. 10)
Inequivalent atoms, fractional coordinates:
Al: 0.160 0.000 0.320 [2 per cell]
Cu: 0.167 0.500 0.334 [2 per cell]
Cu: 0.500 0.000 0.000 [1 per cell]
Cu: 0.500 0.500 0.000 [1 per cell]
Pd: 0.000 0.250 0.000 [2 per cell]
Pd: 0.331 0.241 0.662 [4 per cell]

Values from the calculation:
For the calculated formation energy, the calculation gives -0.480 eV/atom. As for the total magnetic moment: 0.000 μB/cell. The calculation puts the final energy at -5.0657 eV/atom. The density of states at the Fermi level comes out at 0.31 states/eV per atom.


(6)
Material: NaMn2CoI
Method: DFT, PBE
State: relaxed

Lattice parameters (Å, degrees): 4.596 4.596 5.653 90.00 90.00 90.00
Space group P4/mmm (No. 123)
Inequivalent atoms, fractional coordinates:
Na: 0.000 0.000 0.000 [1 per cell]
Mn: 0.000 0.500 0.500 [2 per cell]
Co: 0.000 0.000 0.500 [1 per cell]
I: 0.500 0.500 0.000 [1 per cell]

Values from the calculation:
As for the total magnetic moment: 9.384 μB/cell. The uncorrected formation energy comes out at 62.8 kJ/mol of atoms. The calculation puts the final energy at -5.0115 eV/atom. The density of states at the Fermi level comes out at 0.85 states/eV per atom.